First-principles (PBE-GGA) data for a relaxed structure of HoTmSn2Ge2, as listed in OQMD.

Size of the total moment ... 0.01 μB per formula unit
E_tot ... -4.98 eV per atom

Cell: 4.0630 8.3347 8.3347 Å, 29.69 90.00 90.00°
With the nearest neighbours (Å) after each atom.
Atoms (fractional coordinates):
Ge  0.5000  0.0549  0.0549  2 Ge 2.70, 4 Ho 3.01
Ge  0.0000  0.9448  0.9448  2 Ge 2.70, 4 Tm 3.01
Ho  0.0000  0.5935  0.5935  6 Ge 3.01-3.21, 4 Sn 3.26-3.29
Sn  0.0000  0.2462  0.2462  4 Sn 2.95, 2 Ho 3.26, 2 Tm 3.29
Sn  0.5000  0.7541  0.7541  4 Sn 2.95, 2 Tm 3.25, 2 Ho 3.29
Tm  0.5000  0.4064  0.4064  6 Ge 3.01-3.21, 4 Sn 3.25-3.29

***

First-principles (PBE-GGA) data for a relaxed structure of SrHoGe2, as listed in OQMD.

Size of the total moment ... 0.01 μB per formula unit
E_tot ... -4.14 eV per atom

Cell: 9.5001 9.5001 5.0421 Å, 90.00 90.00 149.33°
With the nearest neighbours (Å) after each atom.
Atoms (fractional coordinates):
Ge  0.9636  0.0364  0.2500  2 Ge 2.85, 3 Sr 3.10-3.14
Ge  0.7464  0.2536  0.2500  4 Ho 3.00-3.07, 4 Sr 3.24-3.33
Ge  0.2536  0.7464  0.7500  4 Ho 3.00-3.07, 4 Sr 3.24-3.33
Ge  0.0364  0.9636  0.7500  2 Ge 2.85, 3 Sr 3.10-3.14
Ho  0.3423  0.6577  0.2500  6 Ge 3.00-3.36
Ho  0.6577  0.3423  0.7500  6 Ge 3.00-3.36
Sr  0.1349  0.8651  0.2500  7 Ge 3.10-3.33
Sr  0.8651  0.1349  0.7500  7 Ge 3.10-3.33

***

First-principles (PBE-GGA) data for a relaxed structure of HoTaGe, as listed in OQMD.

Size of the total moment ... 0.62 μB per formula unit
E_tot ... -6.95 eV per atom

Cell: 4.5639 4.5639 4.5639 Å, 60.00 60.00 60.00°
With the nearest neighbours (Å) after each atom.
Atoms (fractional coordinates):
Ge  0.0000  0.0000  0.0000  4 Ta 2.79, 4 Ho 2.79
Ho  0.2500  0.2500  0.2500  4 Ge 2.79
Ta  0.7500  0.7500  0.7500  4 Ge 2.79